Record 1
SnPtSCl2: relaxed, PBE-GGA.

Results
E_tot = -18.55 eV for the cell shown
formation energy (no corrections) = -0.14 eV per atom
size of the total moment = 0.0 μB per cell
space group = P4/mmm, No. 123
E above lowest polymorph = 0.000 eV per formula unit

Geometry as POSCAR:
```
SnPtSCl2
1.0
-3.085 1.783 -3.284
-3.663 -2.289 2.197
-0.748 3.906 2.823
S Sn Pt Cl
1 1 1 2
Direct
0.000 0.000 0.500
0.500 0.500 0.500
0.000 0.000 0.000
0.000 0.500 0.000
0.500 0.000 0.000
```



Record 2
LiLa2ReO6: relaxed, PBE-GGA.

Results
E_tot = -159.97 eV for the cell shown
formation energy (no corrections) = -2.60 eV per atom
size of the total moment = 4.0 μB per cell
space group = P2_1/c, No. 14

Geometry as POSCAR:
```
LiLa2ReO6
1.0
-1.451 -2.734 -4.923
-4.101 -2.677 2.696
-9.052 3.234 0.872
Li La Re O
2 4 2 12
Direct
0.500 0.500 0.500
0.000 0.500 0.000
0.560 0.735 0.752
0.940 0.735 0.252
0.440 0.265 0.248
0.060 0.265 0.748
0.500 0.000 0.000
0.000 0.000 0.500
0.717 0.236 0.449
0.783 0.236 0.949
0.283 0.764 0.551
0.217 0.764 0.051
0.810 0.663 0.546
0.690 0.663 0.046
0.190 0.337 0.454
0.310 0.337 0.954
0.972 0.850 0.742
0.528 0.850 0.242
0.028 0.150 0.258
0.472 0.150 0.758
```